No. 1
A geometry-optimized TmAlRu2 structure. Source: the Alexandria database, functional PBE.

The space group is P4/mmm (No. 123) and the conventional cell measures 3.2035, 3.2035 and 6.3640 Å, with angles of 90.00, 90.00 and 90.00 degrees. The asymmetric unit holds Tm at (0.0000, 0.0000, 0.0000), Al at (0.0000, 0.0000, 0.5000) and Ru at (0.5000, 0.5000, 0.2819).

For the formation energy, the calculation gives -176 kJ/mol of formula units.

---

No. 2
A geometry-optimized TmAl6Ru structure. Source: the Alexandria database, functional PBE.

The space group is R-3m (No. 166, hexagonal axes) and the conventional cell measures 5.7548, 5.7548 and 18.0540 Å, with angles of 90.00, 90.00 and 120.00 degrees. The asymmetric unit holds Tm at (0.0000, 0.0000, 0.0000), Al at (0.0150, 0.5075, 0.9255) and Ru at (0.0000, 0.0000, 0.5000).

For the formation energy, the calculation gives -3 kJ/mol of formula units.

---

No. 3
A geometry-optimized Tm4AlRu structure. Source: the Alexandria database, functional PBE.

The space group is C2/c (No. 15) and the conventional cell measures 8.4681, 12.6497 and 6.0303 Å, with angles of 90.00, 107.72 and 90.00 degrees. The asymmetric unit holds Tm at (0.1080, 0.1708, 0.0471), Tm at (0.2140, 0.4234, 0.3920), Al at (0.0000, 0.3753, 0.7500) and Ru at (0.0000, 0.0010, 0.2500).

For the formation energy, the calculation gives -198 kJ/mol of formula units.

---

No. 4
A geometry-optimized Tm2UAl2Ru5 structure. Source: the Alexandria database, functional PBE.

The space group is P4/mbm (No. 127) and the conventional cell measures 10.0765, 10.0765 and 3.3826 Å, with angles of 90.00, 90.00 and 90.00 degrees. The asymmetric unit holds Tm at (0.1688, 0.3312, 0.0000), U at (0.0000, 0.0000, 0.0000), Al at (0.1274, 0.6274, 0.0000), Ru at (0.0000, 0.5000, 0.5000) and Ru at (0.0694, 0.8012, 0.5000).

For the formation energy, the calculation gives -544 kJ/mol of formula units.

---

No. 5
A geometry-optimized Tm2AlRu5W2 structure. Source: the Alexandria database, functional PBE.

The space group is P4/mbm (No. 127) and the conventional cell measures 10.4909, 10.4909 and 3.1488 Å, with angles of 90.00, 90.00 and 90.00 degrees. The asymmetric unit holds Tm at (0.1676, 0.3324, 0.0000), Al at (0.0000, 0.0000, 0.0000), Ru at (0.0000, 0.5000, 0.5000), Ru at (0.0594, 0.8086, 0.5000) and W at (0.1398, 0.6398, 0.0000).

For the formation energy, the calculation gives -118 kJ/mol of formula units.

---

No. 6
A geometry-optimized YTmAlRu structure. Source: the Alexandria database, functional PBE.

The space group is F-43m (No. 216) and the conventional cell measures 6.9675, 6.9675 and 6.9675 Å, with angles of 90.00, 90.00 and 90.00 degrees. The asymmetric unit holds Y at (0.0000, 0.0000, 0.0000), Tm at (0.0000, 0.0000, 0.5000), Al at (0.2500, 0.2500, 0.7500) and Ru at (0.2500, 0.2500, 0.2500).

For the formation energy, the calculation gives -146 kJ/mol of formula units.